No. 1
## Na3CdRh3O8 (PBE)

Data for Na3CdRh3O8 after structural relaxation.

Cell: 6.4609 6.4609 6.4609 Å, 58.86 58.86 58.86°
With the nearest neighbours (Å) after each atom.
Sites, in units of the cell vectors:
Na: 0.0000 0.5000 0.5000  6 O 2.43-2.50
Na: 0.5000 0.0000 0.5000  6 O 2.43-2.50
Na: 0.5000 0.5000 0.0000  6 O 2.43-2.50
Cd: 0.5000 0.5000 0.5000  6 O 2.26
Rh: 0.0000 0.0000 0.5000  6 O 2.05-2.12
Rh: 0.0000 0.5000 0.0000  6 O 2.05-2.12
Rh: 0.5000 0.0000 0.0000  6 O 2.05-2.12
O: 0.2030 0.7482 0.7482  2 Rh 2.05, 1 Cd 2.26
O: 0.2330 0.2330 0.2330  3 Rh 2.12
O: 0.2518 0.2518 0.7970  2 Rh 2.05, 1 Cd 2.26
O: 0.2518 0.7970 0.2518  2 Rh 2.05, 1 Cd 2.26
O: 0.7482 0.2030 0.7482  2 Rh 2.05, 1 Cd 2.26
O: 0.7482 0.7482 0.2030  2 Rh 2.05, 1 Cd 2.26
O: 0.7670 0.7670 0.7670  3 Rh 2.12
O: 0.7970 0.2518 0.2518  2 Rh 2.05, 1 Cd 2.26

Values from the calculation:
Energy relative to the elements, uncorrected   -15.1 eV/f.u.

=====

No. 2
## SbOsPb2 (PBE)

Data for SbOsPb2 after structural relaxation.

Cell: 3.3595 3.3595 30.7641 Å, 90.00 90.00 120.00°
With the nearest neighbours (Å) after each atom.
Sites, in units of the cell vectors:
Sb: 0.0000 0.0000 0.0000  3 Os 2.67
Sb: 0.3333 0.6667 0.6667  3 Os 2.67
Sb: 0.6667 0.3333 0.3333  3 Os 2.67
Os: 0.0000 0.0000 0.7263  3 Sb 2.67, 3 Pb 2.95
Os: 0.3333 0.6667 0.3929  3 Sb 2.67, 3 Pb 2.95
Os: 0.6667 0.3333 0.0596  3 Sb 2.67, 3 Pb 2.95
Pb: 0.0000 0.0000 0.2321  9 Pb 3.36-3.64, 3 Sb 3.67
Pb: 0.0000 0.0000 0.4652  3 Os 2.95
Pb: 0.3333 0.6667 0.1319  3 Os 2.95
Pb: 0.3333 0.6667 0.8988  9 Pb 3.36-3.64, 3 Sb 3.67
Pb: 0.6667 0.3333 0.5655  9 Pb 3.36-3.64, 3 Sb 3.67
Pb: 0.6667 0.3333 0.7985  3 Os 2.95

Values from the calculation:
Energy relative to the elements, uncorrected   1.5 eV/f.u.

=====

No. 3
## LiZn2Mo (PBE)

Data for LiZn2Mo after structural relaxation.

Cell: 6.1351 6.1351 6.1351 Å, 90.00 90.00 90.00°
With the nearest neighbours (Å) after each atom.
Sites, in units of the cell vectors:
Li: 0.0000 0.0000 0.0000  4 Mo 2.66, 4 Zn 2.66
Li: 0.0000 0.5000 0.5000  4 Mo 2.66, 4 Zn 2.66
Li: 0.5000 0.0000 0.5000  4 Mo 2.66, 4 Zn 2.66
Li: 0.5000 0.5000 0.0000  4 Mo 2.66, 4 Zn 2.66
Zn: 0.0000 0.0000 0.5000  4 Mo 2.66, 4 Zn 2.66
Zn: 0.0000 0.5000 0.0000  4 Mo 2.66, 4 Zn 2.66
Zn: 0.2500 0.2500 0.2500  4 Li 2.66, 4 Zn 2.66
Zn: 0.2500 0.7500 0.7500  4 Li 2.66, 4 Zn 2.66
Zn: 0.5000 0.0000 0.0000  4 Mo 2.66, 4 Zn 2.66
Zn: 0.5000 0.5000 0.5000  4 Mo 2.66, 4 Zn 2.66
Zn: 0.7500 0.2500 0.7500  4 Li 2.66, 4 Zn 2.66
Zn: 0.7500 0.7500 0.2500  4 Li 2.66, 4 Zn 2.66
Mo: 0.2500 0.2500 0.7500  4 Li 2.66, 4 Zn 2.66
Mo: 0.2500 0.7500 0.2500  4 Li 2.66, 4 Zn 2.66
Mo: 0.7500 0.2500 0.2500  4 Li 2.66, 4 Zn 2.66
Mo: 0.7500 0.7500 0.7500  4 Li 2.66, 4 Zn 2.66

Values from the calculation:
Offset from the most stable computed form   0.332 eV per atom
Formation enthalpy at 0 K   0.319 eV per atom

=====

No. 4
## Ti2ZnSnN (PBE)

Data for Ti2ZnSnN after structural relaxation.

Cell: 4.1541 4.1541 4.3936 Å, 90.00 90.00 90.00°
With the nearest neighbours (Å) after each atom.
Sites, in units of the cell vectors:
Ti: 0.0000 0.5000 0.0000  2 N 2.08
Ti: 0.5000 0.0000 0.0000  2 N 2.08
Zn: 0.0000 0.0000 0.5000  2 N 2.20
Sn: 0.5000 0.5000 0.5000  4 Zn 2.94, 8 Ti 3.02
N: 0.0000 0.0000 0.0000  4 Ti 2.08, 2 Zn 2.20

Values from the calculation:
Energy relative to the elements, uncorrected   -2.5 eV/f.u.

=====

Please write out number 4 again, unchanged.
## Ti2ZnSnN (PBE)

Data for Ti2ZnSnN after structural relaxation.

Cell: 4.1541 4.1541 4.3936 Å, 90.00 90.00 90.00°
With the nearest neighbours (Å) after each atom.
Sites, in units of the cell vectors:
Ti: 0.0000 0.5000 0.0000  2 N 2.08
Ti: 0.5000 0.0000 0.0000  2 N 2.08
Zn: 0.0000 0.0000 0.5000  2 N 2.20
Sn: 0.5000 0.5000 0.5000  4 Zn 2.94, 8 Ti 3.02
N: 0.0000 0.0000 0.0000  4 Ti 2.08, 2 Zn 2.20

Values from the calculation:
Energy relative to the elements, uncorrected   -2.5 eV/f.u.

=====

Question: Which formula does entry 3 have?
Answer: LiZn2Mo